(1)
A relaxed structure of TmB4Os. Source: Alexandria, functional GGA-PBE.

The value obtained for the formation energy is -599 meV/atom. The electronic total energy comes out at -7.6677 eV/atom.

The space group is Pbam (No. 55) and the conventional cell measures 5.9352, 11.4743 and 3.5490 Å, with angles of 90.00, 90.00 and 90.00 degrees. The distinct sites, in fractional coordinates, are Tm at (0.1287, 0.1500, 0.0000), B at (0.0241, 0.6921, 0.5000), B at (0.1130, 0.5472, 0.5000), B at (0.1353, 0.9700, 0.5000), B at (0.2092, 0.8138, 0.5000) and Os at (0.1424, 0.4061, 0.0000).


(2)
A relaxed structure of CrInCuHg2. Source: Alexandria, functional GGA-PBE.

The value obtained for the formation energy is 1047 meV/atom. The electronic total energy comes out at -2.3656 eV/atom.

The space group is P4/mmm (No. 123) and the conventional cell measures 5.5077, 5.5077 and 5.3674 Å, with angles of 90.00, 90.00 and 90.00 degrees. The distinct sites, in fractional coordinates, are Cr at (0.0000, 0.0000, 0.0000), In at (0.0000, 0.0000, 0.5000), Cu at (0.5000, 0.5000, 0.0000) and Hg at (0.0000, 0.5000, 0.5000).


(3)
A relaxed structure of Tb2ScI. Source: Alexandria, functional GGA-PBE.

The calculation puts the relative energy among the computed polymorphs at 0.302 eV/atom. For the formation energy from raw total energies, the calculation gives 0.1 eV/f.u. The electronic total energy comes out at -4.2503 eV/atom.

The space group is R-3m (No. 166, hexagonal axes) and the conventional cell measures 3.5716, 3.5716 and 33.8110 Å, with angles of 90.00, 90.00 and 120.00 degrees. The distinct sites, in fractional coordinates, are Tb at (0.0000, 0.0000, 0.0924), Sc at (0.0000, 0.0000, 0.0000) and I at (0.0000, 0.0000, 0.5000).


(4)
A relaxed structure of Sm5Ag2Au2. Source: Alexandria, functional GGA-PBE.

The value obtained for the formation energy is -435 meV/atom. The electronic total energy comes out at -4.4184 eV/atom.

The space group is Cmce (No. 64) and the conventional cell measures 16.7957, 7.4618 and 7.8181 Å, with angles of 90.00, 90.00 and 90.00 degrees. The distinct sites, in fractional coordinates, are Sm at (0.0000, 0.0000, 0.0000), Sm at (0.1382, 0.1735, 0.3241), Ag at (0.2136, 0.0000, 0.0000) and Au at (0.0000, 0.1267, 0.6358).


(5)
A relaxed structure of MgPt2W. Source: Alexandria, functional GGA-PBE.

The value obtained for the formation energy is -363 meV/atom. The electronic total energy comes out at -7.0207 eV/atom.

The space group is P2/m (No. 10) and the conventional cell measures 2.8052, 3.9607 and 5.7101 Å, with angles of 90.00, 90.18 and 90.00 degrees. The distinct sites, in fractional coordinates, are Mg at (0.0000, 0.0000, 0.0000), Pt at (0.4995, 0.5000, 0.2598) and W at (0.0000, 0.0000, 0.5000).


(6)
A relaxed structure of ReAs2Pb. Source: Alexandria, functional GGA-PBE.

The value obtained for the formation energy is 568 meV/atom. The electronic total energy comes out at -5.7955 eV/atom.

The space group is P2/m (No. 10) and the conventional cell measures 2.8961, 4.4183 and 6.6173 Å, with angles of 90.00, 90.07 and 90.00 degrees. The distinct sites, in fractional coordinates, are Re at (0.0000, 0.0000, 0.0000), As at (0.0008, 0.5000, 0.7999) and Pb at (0.5000, 0.0000, 0.5000).


(7)
A relaxed structure of Li4GeAu. Source: Alexandria, functional GGA-PBE.

The value obtained for the formation energy is -363 meV/atom. The calculation puts the relative energy among the computed polymorphs at 0.033 eV/atom. The electronic total energy comes out at -2.9545 eV/atom.

The space group is P4/mmm (No. 123) and the conventional cell measures 3.2681, 3.2681 and 8.7705 Å, with angles of 90.00, 90.00 and 90.00 degrees. The distinct sites, in fractional coordinates, are Li at (0.0000, 0.0000, 0.1591), Li at (0.5000, 0.5000, 0.3382), Ge at (0.0000, 0.0000, 0.5000) and Au at (0.5000, 0.5000, 0.0000).


(8)
A relaxed structure of KRb3Tl6. Source: Alexandria, functional GGA-PBE.

The value obtained for the formation energy is -18 meV/atom. The electronic total energy comes out at -1.8376 eV/atom.

The space group is C2/m (No. 12) and the conventional cell measures 15.5247, 6.8416 and 9.2262 Å, with angles of 90.00, 122.10 and 90.00 degrees. The distinct sites, in fractional coordinates, are K at (0.0000, 0.0000, 0.0000), Rb at (0.0000, 0.0000, 0.5000), Rb at (0.0025, 0.5000, 0.2520), Tl at (0.2170, 0.0000, 0.9607) and Tl at (0.2458, 0.2398, 0.3137).


(9)
A relaxed structure of As2WAu. Source: Alexandria, functional GGA-PBE.

The value obtained for the formation energy is 315 meV/atom. The calculation puts the relative energy among the computed polymorphs at 0.136 eV/atom. The electronic total energy comes out at -6.0673 eV/atom.

The space group is C2/m (No. 12) and the conventional cell measures 8.7084, 3.1399 and 5.2819 Å, with angles of 90.00, 96.43 and 90.00 degrees. The distinct sites, in fractional coordinates, are As at (0.2183, 0.0000, 0.2043), W at (0.0000, 0.5000, 0.0000) and Au at (0.0000, 0.0000, 0.5000).


(10)
A relaxed structure of SrTaAsSe2. Source: Alexandria, functional GGA-PBE.

The calculation puts the relative energy among the computed polymorphs at 2.167 eV/atom. For the formation energy from raw total energies, the calculation gives 6.9 eV/f.u. The electronic total energy comes out at -3.6528 eV/atom.

The space group is P4/mmm (No. 123) and the conventional cell measures 5.4304, 5.4304 and 5.3773 Å, with angles of 90.00, 90.00 and 90.00 degrees. The distinct sites, in fractional coordinates, are Sr at (0.0000, 0.0000, 0.0000), Ta at (0.5000, 0.5000, 0.5000), As at (0.0000, 0.0000, 0.5000) and Se at (0.0000, 0.5000, 0.0000).


(11)
A relaxed structure of ZnTe. Source: Alexandria, functional GGA-PBE.

For the formation energy from raw total energies, the calculation gives 0.4 eV/f.u. The electronic total energy comes out at -2.0095 eV/atom.

The space group is Pm-3m (No. 221) and the conventional cell measures 3.5906, 3.5906 and 3.5906 Å, with angles of 90.00, 90.00 and 90.00 degrees. The distinct sites, in fractional coordinates, are Zn at (0.0000, 0.0000, 0.0000) and Te at (0.5000, 0.5000, 0.5000).


(12)
A relaxed structure of Te3Rh5. Source: Alexandria, functional GGA-PBE.

The calculation puts the relative energy among the computed polymorphs at 0.087 eV/atom. For the formation energy from raw total energies, the calculation gives -0.3 eV/f.u. The electronic total energy comes out at -5.8107 eV/atom.

The space group is Cmmm (No. 65) and the conventional cell measures 7.1202, 9.3774 and 4.2282 Å, with angles of 90.00, 90.00 and 90.00 degrees. The distinct sites, in fractional coordinates, are Te at (0.0000, 0.0000, 0.0000), Te at (0.0000, 0.3116, 0.5000), Rh at (0.0000, 0.5000, 0.0000), Rh at (0.2200, 0.0000, 0.5000) and Rh at (0.2500, 0.2500, 0.0000).


(13)
A relaxed structure of HRhI. Source: Alexandria, functional GGA-PBE.

The electronic total energy comes out at -4.0236 eV/atom.

The space group is P2_1/c (No. 14) and the conventional cell measures 6.8760, 5.8742 and 5.8511 Å, with angles of 90.00, 113.14 and 90.00 degrees. The distinct sites, in fractional coordinates, are H at (0.0760, 0.0902, 0.1306), Rh at (0.0129, 0.1891, 0.8204) and I at (0.2898, 0.5249, 0.1628).


(14)
A relaxed structure of Ba2CrMo. Source: Alexandria, functional GGA-PBE.

The value obtained for the formation energy is 1202 meV/atom. The calculation puts the relative energy among the computed polymorphs at 0.475 eV/atom. The electronic total energy comes out at -4.8731 eV/atom.

The space group is Immm (No. 71) and the conventional cell measures 5.2049, 5.4554 and 9.1173 Å, with angles of 90.00, 90.00 and 90.00 degrees. The distinct sites, in fractional coordinates, are Ba at (0.0000, 0.0000, 0.2491), Cr at (0.0000, 0.5000, 0.0000) and Mo at (0.0000, 0.5000, 0.5000).


(15)
A relaxed structure of HoPuSb2. Source: Alexandria, functional GGA-PBE.

The calculation puts the relative energy among the computed polymorphs at 0.000 eV/atom. For the formation energy from raw total energies, the calculation gives -3.4 eV/f.u. The electronic total energy comes out at -7.6426 eV/atom.

The space group is R-3m (No. 166, hexagonal axes) and the conventional cell measures 4.4047, 4.4047 and 21.4549 Å, with angles of 90.00, 90.00 and 120.00 degrees. The distinct sites, in fractional coordinates, are Ho at (0.0000, 0.0000, 0.0000), Pu at (0.0000, 0.0000, 0.5000) and Sb at (0.0000, 0.0000, 0.2506).


(16)
A relaxed structure of HgTe2Se. Source: Alexandria, functional GGA-PBE.

The calculation puts the relative energy among the computed polymorphs at 0.120 eV/atom. For the formation energy from raw total energies, the calculation gives 0.5 eV/f.u. The electronic total energy comes out at -2.3918 eV/atom.

The space group is Cmm2 (No. 35) and the conventional cell measures 4.1098, 8.2255 and 8.0784 Å, with angles of 90.00, 90.00 and 90.00 degrees. The distinct sites, in fractional coordinates, are Hg at (0.0000, 0.0000, 0.0000), Te at (0.0000, 0.0000, 0.4741), Te at (0.0000, 0.5000, 0.7355) and Se at (0.0000, 0.5000, 0.2310).


(17)
A relaxed structure of Ce4DyHo. Source: Alexandria, functional GGA-PBE.

The value obtained for the formation energy is 209 meV/atom. The electronic total energy comes out at -5.2764 eV/atom.

The space group is F-43m (No. 216) and the conventional cell measures 8.9173, 8.9173 and 8.9173 Å, with angles of 90.00, 90.00 and 90.00 degrees. The distinct sites, in fractional coordinates, are Ce at (0.1245, 0.1245, 0.1245), Dy at (0.0000, 0.0000, 0.5000) and Ho at (0.2500, 0.2500, 0.7500).


(18)
A relaxed structure of SrCoOs3. Source: Alexandria, functional GGA-PBE.

The value obtained for the formation energy is 4042 meV/atom. The calculation puts the relative energy among the computed polymorphs at 2.625 eV/atom. The electronic total energy comes out at -4.4539 eV/atom.

The space group is Pm-3m (No. 221) and the conventional cell measures 4.7408, 4.7408 and 4.7408 Å, with angles of 90.00, 90.00 and 90.00 degrees. The distinct sites, in fractional coordinates, are Sr at (0.0000, 0.0000, 0.0000), Co at (0.5000, 0.5000, 0.5000) and Os at (0.0000, 0.0000, 0.5000).


(19)
A relaxed structure of Be2AlCu3. Source: Alexandria, functional GGA-PBE.

The value obtained for the formation energy is -152 meV/atom. The electronic total energy comes out at -4.0655 eV/atom.

The space group is P4/mmm (No. 123) and the conventional cell measures 2.7647, 2.7647 and 8.5994 Å, with angles of 90.00, 90.00 and 90.00 degrees. The distinct sites, in fractional coordinates, are Be at (0.0000, 0.0000, 0.1491), Al at (0.0000, 0.0000, 0.5000), Cu at (0.5000, 0.5000, 0.0000) and Cu at (0.5000, 0.5000, 0.3043).


(20)
A relaxed structure of Hf2MgFe2. Source: Alexandria, functional GGA-PBE.

The value obtained for the formation energy is -56 meV/atom. The electronic total energy comes out at -7.7415 eV/atom.

The space group is P4/mbm (No. 127) and the conventional cell measures 7.2662, 7.2662 and 3.1619 Å, with angles of 90.00, 90.00 and 90.00 degrees. The distinct sites, in fractional coordinates, are Hf at (0.1543, 0.3457, 0.0000), Mg at (0.0000, 0.0000, 0.5000) and Fe at (0.1396, 0.6396, 0.5000).


(21)
A relaxed structure of PrSmAl. Source: Alexandria, functional GGA-PBE.

The value obtained for the formation energy is -200 meV/atom. The calculation puts the relative energy among the computed polymorphs at 0.011 eV/atom. The electronic total energy comes out at -4.6138 eV/atom.

The space group is I4mm (No. 107) and the conventional cell measures 3.5295, 3.5295 and 14.0447 Å, with angles of 90.00, 90.00 and 90.00 degrees. The distinct sites, in fractional coordinates, are Pr at (0.0000, 0.0000, 0.0000), Sm at (0.0000, 0.0000, 0.7089) and Al at (0.0000, 0.0000, 0.3507).


(22)
A relaxed structure of La2Pm2Pr4Nd. Source: Alexandria, functional GGA-PBE.

The value obtained for the formation energy is 7 meV/atom. The electronic total energy comes out at -4.7976 eV/atom.

The space group is C2/m (No. 12) and the conventional cell measures 19.4107, 3.7369 and 9.9334 Å, with angles of 90.00, 115.74 and 90.00 degrees. The distinct sites, in fractional coordinates, are La at (0.1666, 0.0000, 0.4989), Pm at (0.1487, 0.5000, 0.1679), Pr at (0.0183, 0.0000, 0.8338), Pr at (0.1851, 0.5000, 0.8325) and Nd at (0.0000, 0.5000, 0.5000).


(23)
A relaxed structure of CaNiBRh2. Source: Alexandria, functional GGA-PBE.

The value obtained for the formation energy is -409 meV/atom. The electronic total energy comes out at -6.2416 eV/atom.

The space group is P4/mmm (No. 123) and the conventional cell measures 4.2079, 4.2079 and 4.0204 Å, with angles of 90.00, 90.00 and 90.00 degrees. The distinct sites, in fractional coordinates, are Ca at (0.0000, 0.0000, 0.0000), Ni at (0.5000, 0.5000, 0.0000), B at (0.5000, 0.5000, 0.5000) and Rh at (0.0000, 0.5000, 0.5000).


(24)
A relaxed structure of Sr5ErHg6. Source: Alexandria, functional GGA-PBE.

The value obtained for the formation energy is -507 meV/atom. The electronic total energy comes out at -1.7389 eV/atom.

The space group is P2/m (No. 10) and the conventional cell measures 5.5634, 7.9205 and 8.8014 Å, with angles of 90.00, 108.40 and 90.00 degrees. The distinct sites, in fractional coordinates, are Sr at (0.0000, 0.0000, 0.0000), Sr at (0.3318, 0.0000, 0.6631), Sr at (0.3330, 0.5000, 0.6653), Er at (0.0000, 0.5000, 0.0000), Hg at (0.1571, 0.2611, 0.3160) and Hg at (0.5000, 0.2697, 0.0000).


(25)
A relaxed structure of CrAg3Rh. Source: Alexandria, functional GGA-PBE.

The value obtained for the formation energy is 1435 meV/atom. The calculation puts the relative energy among the computed polymorphs at 0.000 eV/atom. The electronic total energy comes out at -3.6706 eV/atom.

The space group is Pm-3m (No. 221) and the conventional cell measures 4.8268, 4.8268 and 4.8268 Å, with angles of 90.00, 90.00 and 90.00 degrees. The distinct sites, in fractional coordinates, are Cr at (0.0000, 0.0000, 0.0000), Ag at (0.0000, 0.0000, 0.5000) and Rh at (0.5000, 0.5000, 0.5000).


(26)
A relaxed structure of FeSb3. Source: Alexandria, functional GGA-PBE.

The calculation puts the relative energy among the computed polymorphs at 0.508 eV/atom. For the formation energy from raw total energies, the calculation gives 1.9 eV/f.u. The electronic total energy comes out at -4.7254 eV/atom.

The space group is I4/mmm (No. 139) and the conventional cell measures 4.3839, 4.3839 and 20.5179 Å, with angles of 90.00, 90.00 and 90.00 degrees. The distinct sites, in fractional coordinates, are Fe at (0.0000, 0.0000, 0.1704), Sb at (0.0000, 0.0000, 0.3811), Sb at (0.0000, 0.5000, 0.0000) and Sb at (0.0000, 0.5000, 0.2500).